# 1
DFT (PBE-GGA) results for SmDyHg5 after structural relaxation.

a b c (Å): 6.5275 6.5695 8.7715
angles (deg): 90.00 90.00 90.00
Last column: nearest neighbours and their distance in Å.
Space group Cmmm (No. 65)
Symmetry-distinct sites (fractional):
Sm  0.0000  0.0000  0.0000 [2 per cell]  8 Hg 3.15
Dy  0.0000  0.5000  0.5000 [2 per cell]  12 Hg 3.23-3.28
Hg  0.0000  0.0000  0.5000 [2 per cell]  8 Hg 3.23, 4 Dy 3.26-3.28
Hg  0.2500  0.2500  0.2434 [8 per cell]  2 Sm 3.15, 6 Hg 3.23-3.28, 2 Dy 3.23

Values from the calculation:
The calculation puts the total DFT energy (no corrections) at -1.82 eV per atom. Its total magnetization is 0.0 μB per formula unit.



# 2
DFT (PBE-GGA) results for SrTaSi2 after structural relaxation.

a b c (Å): 3.1343 3.1343 28.3281
angles (deg): 90.00 90.00 120.00
Last column: nearest neighbours and their distance in Å.
Space group R3m (No. 160, hexagonal axes)
Symmetry-distinct sites (fractional):
Sr  0.0000  0.0000  0.0000 [3 per cell]  6 Sr 3.13, 3 Si 3.22, 3 Ta 3.43
Ta  0.0000  0.0000  0.7696 [3 per cell]  3 Si 2.75
Si  0.0000  0.0000  0.2391 [3 per cell]  3 Si 2.54
Si  0.0000  0.0000  0.5095 [3 per cell]  3 Si 2.54, 3 Ta 2.75

Values from the calculation:
As for the raw formation energy: 2.21 eV per formula unit. For the excess energy over the best structure of this formula in the dataset, the calculation gives 732.2 meV per atom. Its total magnetization is 0.0 μB per formula unit.